Here is Hf6As2S after structural relaxation from Alexandria. Energies are from PBE.

volume: 19.7 Å³ per atom
E above lowest polymorph: 3.2 kJ/mol of atoms
raw formation energy: -0.805 eV per atom

CIF file:
```
data_Hf6As2S
_chemical_formula_sum 'Hf12 As4 S2'
_cell_length_a 5.9489
_cell_length_b 6.8045
_cell_length_c 10.5230
_cell_angle_alpha 90.00
_cell_angle_beta 123.84
_cell_angle_gamma 90.00
_symmetry_space_group_name_H-M 'P 1 21/c 1'
_symmetry_Int_Tables_number 14
loop_
_symmetry_equiv_pos_as_xyz
'x,y,z'
'-x,-y,-z'
'-x,y+1/2,-z+1/2'
'x,-y+1/2,z+1/2'
loop_
_atom_site_label
_atom_site_type_symbol
_atom_site_fract_x
_atom_site_fract_y
_atom_site_fract_z
_atom_site_occupancy
Hf1 Hf 0.0812 0.1961 0.4470 1
Hf2 Hf 0.2967 0.6670 0.4459 1
Hf3 Hf 0.3946 0.0271 0.2371 1
As1 As 0.1656 0.1257 0.7378 1
S1 S 0.5000 0.0000 0.5000 1
```